# 1
A geometry-optimized YCoTe2 structure. Source: Alexandria via LeMat-Bulk, functional GGA-PBE.

abc: 9.186 9.186 9.186
angles: 23.47 23.47 23.47
Fractional positions:
Y (0.000, 0.000, 0.000)
Co (0.500, 0.500, 0.500)
Te (0.115, 0.115, 0.115)
Te (0.885, 0.885, 0.885)

Properties
* total moment: 0.000 μB per atom
* electronic total energy: -5.135 eV/atom
* DOS at the Fermi energy: 1.13 states/eV per atom



# 2
A geometry-optimized YCoTe3 structure. Source: Alexandria via LeMat-Bulk, functional GGA-PBE.

abc: 5.805 5.805 5.805
angles: 90.00 90.00 90.00
Fractional positions:
Y (0.000, 0.000, 0.000)
Co (0.500, 0.500, 0.500)
Te (0.000, 0.000, 0.500)
Te (0.000, 0.500, 0.000)
Te (0.500, 0.000, 0.000)

Properties
* total moment: 0.559 μB per atom
* ΔE to the lowest computed polymorph: 0.753 eV per atom
* electronic total energy: -4.052 eV/atom
* DOS at the Fermi energy: 1.24 states/eV per atom



# 3
A geometry-optimized YCoTe3 structure. Source: Alexandria via LeMat-Bulk, functional GGA-PBE.

abc: 5.072 5.072 5.072
angles: 90.00 90.00 90.00
Fractional positions:
Y (0.000, 0.000, 0.000)
Co (0.500, 0.500, 0.500)
Te (0.000, 0.500, 0.500)
Te (0.500, 0.000, 0.500)
Te (0.500, 0.500, 0.000)

Properties
* total moment: 0.000 μB per atom
* ΔE to the lowest computed polymorph: 0.000 eV per atom
* electronic total energy: -4.805 eV/atom
* DOS at the Fermi energy: 1.12 states/eV per atom



# 4
A geometry-optimized YCoTe2 structure. Source: Alexandria via LeMat-Bulk, functional GGA-PBE.

abc: 5.151 5.151 5.151
angles: 60.00 60.00 60.00
Fractional positions:
Y (0.000, 0.000, 0.000)
Co (0.750, 0.750, 0.750)
Te (0.250, 0.250, 0.250)
Te (0.500, 0.500, 0.500)

Properties
* total moment: 0.452 μB per atom
* electronic total energy: -4.906 eV/atom
* DOS at the Fermi energy: 0.95 states/eV per atom